1.
CaMoNO2 | GGA+U | optimized geometry

Summary:
**Fermi-level density of states**: 0.205 states/eV per atom
**Spin magnetization**: 0.033 μB per atom
**SG**: P4/mmm
**Final energy**: -0.255 Ha/atom

a b c (Å): 3.980 3.980 3.971
angles (deg): 90.00 90.00 90.00
Atoms (fractional coordinates):
1 Mo 0.000 0.000 0.000
2 Ca 0.500 0.500 0.500
3 O 0.000 0.500 0.000
4 O 0.500 0.000 0.000
5 N 0.000 0.000 0.500

=====

2.
Li2Mn4O3F8 | GGA+U | optimized geometry

Summary:
**Fermi-level density of states**: 0.294 states/eV per atom
**Spin magnetization**: 0.941 μB per atom
**SG**: P-1
**Final energy**: -0.221 Ha/atom

a b c (Å): 5.132 6.559 7.059
angles (deg): 108.32 104.92 98.10
Atoms (fractional coordinates):
1 Li 0.682 0.184 0.408
2 Li 0.318 0.816 0.592
3 Mn 0.889 0.246 0.974
4 Mn 0.340 0.376 0.769
5 Mn 0.660 0.624 0.231
6 Mn 0.111 0.754 0.026
7 O 0.000 0.000 0.000
8 O 0.740 0.521 0.962
9 O 0.260 0.479 0.038
10 F 0.489 0.098 0.814
11 F 0.953 0.201 0.662
12 F 0.405 0.290 0.514
13 F 0.804 0.350 0.260
14 F 0.196 0.650 0.740
15 F 0.595 0.710 0.486
16 F 0.047 0.799 0.338
17 F 0.511 0.902 0.186